No. 1
# NpPtN

A relaxed NpPtN crystal (PBE, the Alexandria database).

Computed properties:
Uncorrected formation energy   -101 kJ/mol of formula units
Energy above the most stable polymorph in this dataset   0.552 eV per atom
Density of states at the Fermi level   5.79 states/eV/f.u.

abc: 3.777 3.777 4.081
angles: 90.00 90.00 120.00
Positions (direct):
Np 0.000 0.000 0.000
Pt 0.667 0.333 0.500
N 0.333 0.667 0.998

=====

No. 2
# NpPtN

A relaxed NpPtN crystal (PBE, the Alexandria database).

Computed properties:
Uncorrected formation energy   -105 kJ/mol of formula units
Energy above the most stable polymorph in this dataset   0.538 eV per atom
Density of states at the Fermi level   4.91 states/eV/f.u.

abc: 3.844 3.844 7.086
angles: 90.06 90.06 88.43
Positions (direct):
Np 0.000 0.000 0.171
Np 0.000 0.000 0.829
Pt 0.263 0.263 0.500
Pt 0.737 0.737 0.500
N 0.000 0.500 0.000
N 0.500 0.000 0.000

=====

No. 3
# Th2NpPtN5

A relaxed Th2NpPtN5 crystal (PBE, the Alexandria database).

Computed properties:
Uncorrected formation energy   -798 kJ/mol of formula units
Density of states at the Fermi level   6.01 states/eV/f.u.

abc: 7.328 7.328 10.574
angles: 90.00 90.00 153.15
Positions (direct):
Th 0.111 0.889 0.500
Th 0.131 0.869 0.118
Th 0.869 0.131 0.618
Th 0.889 0.111 0.000
Np 0.197 0.803 0.818
Np 0.803 0.197 0.318
Pt 0.478 0.522 0.281
Pt 0.522 0.478 0.781
N 0.048 0.952 0.892
N 0.287 0.713 0.460
N 0.299 0.701 0.174
N 0.343 0.657 0.815
N 0.496 0.504 0.590
N 0.504 0.496 0.090
N 0.657 0.343 0.315
N 0.701 0.299 0.674
N 0.713 0.287 0.960
N 0.952 0.048 0.392

=====

No. 4
# Pu3NpN6

A relaxed Pu3NpN6 crystal (PBE, the Alexandria database).

Computed properties:
Uncorrected formation energy   -1012 kJ/mol of formula units
Energy above the most stable polymorph in this dataset   0.086 eV per atom
Density of states at the Fermi level   22.38 states/eV/f.u.

abc: 5.852 5.852 5.852
angles: 60.40 60.40 60.40
Positions (direct):
Pu 0.000 0.000 0.000
Pu 0.228 0.228 0.228
Pu 0.497 0.497 0.497
Np 0.724 0.724 0.724
N 0.094 0.417 0.845
N 0.351 0.906 0.610
N 0.417 0.845 0.094
N 0.610 0.351 0.906
N 0.845 0.094 0.417
N 0.906 0.610 0.351

=====

No. 5
# Pu5Np2N12

A relaxed Pu5Np2N12 crystal (PBE, the Alexandria database).

Computed properties:
Uncorrected formation energy   -1590 kJ/mol of formula units
Density of states at the Fermi level   30.03 states/eV/f.u.

abc: 6.887 6.887 7.536
angles: 105.73 105.73 51.31
Positions (direct):
Pu 0.000 0.000 0.000
Pu 0.304 0.304 0.137
Pu 0.307 0.307 0.677
Pu 0.693 0.693 0.323
Pu 0.696 0.696 0.863
Np 0.224 0.776 0.500
Np 0.776 0.224 0.500
N 0.007 0.007 0.267
N 0.094 0.569 0.409
N 0.094 0.585 0.926
N 0.415 0.906 0.074
N 0.431 0.906 0.591
N 0.499 0.499 0.679
N 0.501 0.501 0.321
N 0.569 0.094 0.409
N 0.585 0.094 0.926
N 0.906 0.415 0.074
N 0.906 0.431 0.591
N 0.993 0.993 0.733

=====

No. 6
# Pu2Np2N7

A relaxed Pu2Np2N7 crystal (PBE, the Alexandria database).

Computed properties:
Uncorrected formation energy   -996 kJ/mol of formula units
Density of states at the Fermi level   17.40 states/eV/f.u.

abc: 5.286 5.286 5.299
angles: 90.00 90.00 93.87
Positions (direct):
Pu 0.240 0.240 0.000
Pu 0.760 0.760 0.000
Np 0.231 0.769 0.500
Np 0.769 0.231 0.500
N 0.000 0.000 0.253
N 0.000 0.000 0.747
N 0.000 0.500 0.250
N 0.000 0.500 0.750
N 0.500 0.000 0.250
N 0.500 0.000 0.750
N 0.500 0.500 0.500

=====

no.,magnetization (μB/f.u.),uncorrected energy (eV/f.u.)
1,2.03,-28.36
2,1.44,-28.40
3,1.40,-83.72
4,13.00,-116.38
5,18.04,-213.93
6,9.00,-123.15